(1)
A plane-wave DFT calculation with PBE was carried out for AlTeOsAu after structural relaxation.

a = 4.671 Å, b = 4.671 Å, c = 4.671 Å
α = 60.00°, β = 60.00°, γ = 60.00°
Positions (direct):
1 Al 0.000 0.000 0.000
2 Os 0.250 0.250 0.250
3 Au 0.750 0.750 0.750
4 Te 0.500 0.500 0.500

Properties
The calculation puts the volume at 18.0 A^3/atom. For the total energy, the calculation gives -4.83 eV per atom.

***

(2)
A plane-wave DFT calculation with PBE was carried out for BaFeBi after structural relaxation.

a = 5.508 Å, b = 5.508 Å, c = 5.508 Å
α = 60.00°, β = 60.00°, γ = 60.00°
Positions (direct):
1 Bi 0.250 0.250 0.250
2 Fe 0.750 0.750 0.750
3 Ba 0.000 0.000 0.000

Properties
The calculation puts the volume at 39.4 A^3/atom. For the total energy, the calculation gives -3.91 eV per atom.

***

(3)
A plane-wave DFT calculation with PBE was carried out for BeAlTcTe after structural relaxation.

a = 4.473 Å, b = 4.473 Å, c = 4.473 Å
α = 60.00°, β = 60.00°, γ = 60.00°
Positions (direct):
1 Te 0.500 0.500 0.500
2 Be 0.750 0.750 0.750
3 Tc 0.250 0.250 0.250
4 Al 0.000 0.000 0.000

Properties
The calculation puts the volume at 15.8 A^3/atom. For the total energy, the calculation gives -4.80 eV per atom.

***

(4)
A plane-wave DFT calculation with PBE was carried out for HfCuAsPt after structural relaxation.

a = 4.545 Å, b = 4.545 Å, c = 4.545 Å
α = 60.00°, β = 60.00°, γ = 60.00°
Positions (direct):
1 As 0.000 0.000 0.000
2 Hf 0.250 0.250 0.250
3 Pt 0.500 0.500 0.500
4 Cu 0.750 0.750 0.750

Properties
The calculation puts the volume at 16.6 A^3/atom. For the total energy, the calculation gives -6.57 eV per atom.

***

Please write out number 4 again, unchanged.
A plane-wave DFT calculation with PBE was carried out for HfCuAsPt after structural relaxation.

a = 4.545 Å, b = 4.545 Å, c = 4.545 Å
α = 60.00°, β = 60.00°, γ = 60.00°
Positions (direct):
1 As 0.000 0.000 0.000
2 Hf 0.250 0.250 0.250
3 Pt 0.500 0.500 0.500
4 Cu 0.750 0.750 0.750

Properties
The calculation puts the volume at 16.6 A^3/atom. For the total energy, the calculation gives -6.57 eV per atom.

***

Repeat the fourth record exactly.
A plane-wave DFT calculation with PBE was carried out for HfCuAsPt after structural relaxation.

a = 4.545 Å, b = 4.545 Å, c = 4.545 Å
α = 60.00°, β = 60.00°, γ = 60.00°
Positions (direct):
1 As 0.000 0.000 0.000
2 Hf 0.250 0.250 0.250
3 Pt 0.500 0.500 0.500
4 Cu 0.750 0.750 0.750

Properties
The calculation puts the volume at 16.6 A^3/atom. For the total energy, the calculation gives -6.57 eV per atom.

***

The highest volume belongs to which entry? BaFeBi

***

Among the records above, which one has the lowest volume? BeAlTcTe